First-principles (PBE) data for Tb2Sc5 after structural relaxation, as listed in Alexandria via LeMat-Bulk.

a b c (Å): 6.3442 6.3442 6.1065
angles (deg): 96.49 96.49 49.85
With the nearest neighbours (Å) after each atom.
Atoms (fractional coordinates):
Tb 0.0825 0.0825 0.2806  10 Sc 3.25-3.63, 1 Tb 3.47
Tb 0.9175 0.9175 0.7194  10 Sc 3.25-3.63, 1 Tb 3.47
Sc 0.2281 0.2281 0.8435  6 Sc 3.16-3.29, 1 Tb 3.32
Sc 0.3672 0.3672 0.4044  5 Sc 3.06-3.29, 3 Tb 3.27-3.30
Sc 0.5000 0.5000 0.0000  4 Sc 3.06-3.16, 4 Tb 3.25
Sc 0.6328 0.6328 0.5956  5 Sc 3.06-3.29, 3 Tb 3.27-3.30
Sc 0.7719 0.7719 0.1565  6 Sc 3.16-3.29, 1 Tb 3.32

Computed properties:
For the energy of formation from the pure elements, the calculation gives 9.6 kJ/mol of atoms. The value obtained for the final energy is -5.746 eV/atom.